Entry 1:
VASP calculation (PBE-GGA) on an optimized crystal structure of Ho2MgSc6.

Cell and atoms, written as POSCAR:
```
Ho2MgSc6
1.0
8.0177 -1.6423 0.0000
8.0177 1.6423 0.0000
-6.5216 0.0000 8.9687
Ho Mg Sc
2 1 6
direct
0.1698 0.1698 0.3205
0.8302 0.8302 0.6795
0.5000 0.5000 0.0000
0.1081 0.1081 0.5542
0.2696 0.2696 0.8920
0.4468 0.4468 0.2503
0.5532 0.5532 0.7497
0.7304 0.7304 0.1080
0.8919 0.8919 0.4458
```


Entry 2:
VASP calculation (PBE-GGA) on an optimized crystal structure of HoMg5Sc2.

Cell and atoms, written as POSCAR:
```
HoMg5Sc2
1.0
-2.5642 2.5642 7.2634
2.5642 -2.5642 7.2634
2.5642 2.5642 -7.2634
Ho Mg Sc
1 5 2
direct
0.0000 0.0000 0.0000
0.1283 0.6283 0.5000
0.3717 0.8717 0.5000
0.5000 0.5000 0.0000
0.6283 0.1283 0.5000
0.8717 0.3717 0.5000
0.2545 0.2545 0.0000
0.7455 0.7455 0.0000
```


no.,energy above the most stable polymorph in this dataset (eV/f.u.),energy of formation (meV per atom),DOS at the Fermi energy (states/eV/cell)
1,0.000,69,16.7
2,0.000,-47,6.2